First-principles (GGA-PBE) data for an optimized crystal structure of SmBIr3, as listed in Alexandria via LeMat-Bulk.

The structure in POSCAR format:
```
SmBIr3
1.0
5.961 0.000 0.000
-2.981 5.163 0.000
0.000 0.000 10.123
Sm B Ir
4 4 12
Cartesian
0.000 0.000 0.000
0.000 0.000 5.061
0.000 3.442 2.531
2.981 1.721 7.592
0.000 3.442 6.341
0.000 3.442 8.843
2.981 1.721 1.280
2.981 1.721 3.782
-1.490 2.581 0.000
-1.490 2.581 5.061
0.000 1.722 7.592
-1.490 4.302 7.592
1.491 0.861 2.531
2.981 0.000 0.000
2.981 0.000 5.061
1.490 2.581 0.000
1.490 2.581 5.061
1.490 4.302 7.592
4.470 0.861 2.531
2.981 3.441 2.531
```

Output
The space group is P6_3/mmc, No. 194. As for the crystal system: hexagonal. The calculation puts the formation energy from the elements at -495 meV/atom. The value obtained for the total energy is -161.82 eV for the cell shown.